[1]
A geometry-optimized Li12Tl3Pt structure. Source: Alexandria via LeMat-Bulk, functional PBE.

POSCAR file:
```
Li12Tl3Pt
1.0
-1.440 0.363 3.823
3.146 -2.230 1.396
9.113 14.163 2.088
Pt Li Tl
1 12 3
Direct
0.000 0.000 0.000
0.500 0.500 0.765
0.000 0.500 0.101
0.500 0.000 0.368
0.500 0.000 0.899
0.500 0.500 0.500
0.500 0.500 0.235
0.500 0.500 0.000
0.000 0.500 0.632
0.000 0.500 0.899
0.000 0.500 0.368
0.500 0.000 0.101
0.500 0.000 0.632
0.000 0.000 0.765
0.000 0.000 0.500
0.000 0.000 0.235
```

Summary:
D(E_F): 0.365 states/eV per atom
energy relative to the elements: -0.237 eV per atom
crystal system: tetragonal
total moment: 0.000 μB per formula unit

***

[2]
A geometry-optimized LiTlPt2 structure. Source: Alexandria via LeMat-Bulk, functional PBE.

POSCAR file:
```
LiTlPt2
1.0
-0.376 2.731 1.009
-2.652 0.097 -1.253
-3.322 -2.970 6.800
Li Pt Tl
1 2 1
Direct
0.500 0.500 0.789
0.000 0.000 0.990
0.500 0.500 0.227
0.000 0.000 0.494
```

Summary:
D(E_F): 0.852 states/eV per atom
energy relative to the elements: -0.117 eV per atom
crystal system: tetragonal
total moment: 0.000 μB per formula unit

***

[3]
A geometry-optimized LiTlPt2 structure. Source: Alexandria via LeMat-Bulk, functional PBE.

POSCAR file:
```
LiTlPt2
1.0
5.011 0.000 0.012
4.133 2.833 0.012
0.724 0.224 4.838
Li Tl Pt
1 1 2
Direct
0.739 0.739 0.791
0.514 0.514 0.479
0.258 0.258 0.254
0.989 0.989 0.976
```

Summary:
D(E_F): 0.262 states/eV per atom
energy relative to the elements: -0.235 eV per atom
crystal system: monoclinic
total moment: 0.000 μB per formula unit

***

[4]
A geometry-optimized Li2Tl2Pt structure. Source: Alexandria via LeMat-Bulk, functional PBE.

POSCAR file:
```
Li2Tl2Pt
1.0
7.413 0.000 0.000
0.000 7.413 0.000
0.000 0.000 3.472
Tl Li Pt
4 4 2
Direct
0.148 0.352 0.000
0.852 0.648 0.000
0.648 0.148 0.000
0.352 0.852 0.000
0.842 0.342 0.500
0.658 0.842 0.500
0.342 0.158 0.500
0.158 0.658 0.500
0.500 0.500 0.000
0.000 0.000 0.000
```

Summary:
D(E_F): 0.345 states/eV per atom
energy relative to the elements: -0.127 eV per atom
crystal system: tetragonal
total moment: 0.000 μB per formula unit

***

[5]
A geometry-optimized LiTlPt4 structure. Source: Alexandria via LeMat-Bulk, functional PBE.

POSCAR file:
```
LiTlPt4
1.0
-0.047 -2.969 -4.468
1.975 -4.987 0.072
-3.311 -4.202 -0.393
Tl Pt Li
1 4 1
Direct
0.250 0.250 0.250
0.124 0.625 0.625
0.625 0.625 0.625
0.625 0.625 0.124
0.625 0.124 0.625
0.000 0.000 0.000
```

Summary:
D(E_F): 0.554 states/eV per atom
energy relative to the elements: -0.256 eV per atom
crystal system: cubic
total moment: 0.000 μB per formula unit

***

[6]
A geometry-optimized LiTlPt structure. Source: Alexandria via LeMat-Bulk, functional PBE.

POSCAR file:
```
LiTlPt
1.0
-1.370 -1.029 4.828
-3.670 -3.374 1.182
4.423 0.746 -2.476
Tl Pt Li
1 1 1
Direct
0.667 0.667 0.000
0.349 0.349 0.000
0.984 0.984 0.000
```

Summary:
D(E_F): 0.287 states/eV per atom
energy relative to the elements: -0.305 eV per atom
crystal system: orthorhombic
total moment: 0.000 μB per formula unit